VGeSe3: optimized geometry, GGA-PBE.

Output
* total energy: -4.765 eV/atom
* space group: No. 221

a b c (Å): 4.863 4.863 4.863
angles (deg): 90.00 90.00 90.00
Sites, in units of the cell vectors:
V  0.000  0.000  0.000
Ge  0.500  0.500  0.500
Se  0.000  0.000  0.500
Se  0.000  0.500  0.000
Se  0.500  0.000  0.000

VGe3Se: optimized geometry, GGA-PBE.

Output
* total energy: -4.212 eV/atom
* energy above the most stable polymorph in this dataset: 689.5 meV/atom
* space group: No. 221

a b c (Å): 5.017 5.017 5.017
angles (deg): 90.00 90.00 90.00
Sites, in units of the cell vectors:
V  0.000  0.000  0.000
Ge  0.000  0.500  0.500
Ge  0.500  0.000  0.500
Ge  0.500  0.500  0.000
Se  0.500  0.500  0.500

VGeSe3: optimized geometry, GGA-PBE.

Output
* total energy: -4.285 eV/atom
* space group: No. 221

a b c (Å): 4.946 4.946 4.946
angles (deg): 90.00 90.00 90.00
Sites, in units of the cell vectors:
V  0.000  0.000  0.000
Ge  0.500  0.500  0.500
Se  0.000  0.500  0.500
Se  0.500  0.000  0.500
Se  0.500  0.500  0.000

V2Ge2Se7: optimized geometry, GGA-PBE.

Output
* total energy: -5.035 eV/atom
* space group: No. 44

a b c (Å): 9.333 9.333 9.333
angles (deg): 158.27 82.87 101.26
Sites, in units of the cell vectors:
V  0.000  0.000  0.000
V  0.734  0.234  0.500
Ge  0.020  0.745  0.275
Ge  0.470  0.745  0.725
Se  0.005  0.395  0.609
Se  0.151  0.651  0.500
Se  0.283  0.100  0.183
Se  0.542  0.649  0.893
Se  0.756  0.649  0.107
Se  0.786  0.395  0.391
Se  0.917  0.100  0.817

Copy entry 2 word for word.
VGe3Se: optimized geometry, GGA-PBE.

Output
* total energy: -4.212 eV/atom
* energy above the most stable polymorph in this dataset: 689.5 meV/atom
* space group: No. 221

a b c (Å): 5.017 5.017 5.017
angles (deg): 90.00 90.00 90.00
Sites, in units of the cell vectors:
V  0.000  0.000  0.000
Ge  0.000  0.500  0.500
Ge  0.500  0.000  0.500
Ge  0.500  0.500  0.000
Se  0.500  0.500  0.500

Q: What is the total energy in the second record?
A: -4.212 eV/atom

Q: total energy of number 1 (VGeSe3)?
A: -4.765 eV/atom